5
Lattice="4.947 0.000 0.000 0.000 4.947 0.000 0.000 0.000 4.947" Properties=species:S:1:pos:R:3 comment="In3NiBr, single point on PBEsol structure, DFT meta-GGA SCAN" raw_formation_energy_ev_per_atom=-0.40 total_energy_ev_per_atom=-27.56 dos_ef_per_ev_atom=0.049 m_tot_mub_per_fu=0.000 pbc="T T T"
In 0.000 0.000 2.473
In 0.000 2.473 0.000
In 2.473 0.000 0.000
Ni 0.000 0.000 0.000
Br 2.473 2.473 2.473

=====

4
Lattice="0.000 3.508 3.508 3.508 0.000 3.508 3.508 3.508 0.000" Properties=species:S:1:pos:R:3 comment="In2NiBr, single point on PBEsol structure, DFT meta-GGA SCAN" raw_formation_energy_ev_per_atom=0.51 polymorph_energy_ev_per_atom=0.139 total_energy_ev_per_atom=-25.09 dos_ef_per_ev_atom=0.908 m_tot_mub_per_fu=0.003 pbc="T T T"
In 0.000 0.000 0.000
In 1.754 1.754 1.754
Ni 3.508 3.508 3.508
Br 5.263 5.263 5.263

=====

6
Lattice="0.000 4.349 4.349 4.349 0.000 4.349 4.349 4.349 0.000" Properties=species:S:1:pos:R:3 comment="InNiBr4, single point on PBEsol structure, DFT meta-GGA SCAN" raw_formation_energy_ev_per_atom=0.71 total_energy_ev_per_atom=-20.52 dos_ef_per_ev_atom=1.089 m_tot_mub_per_fu=0.774 pbc="T T T"
In 0.000 0.000 0.000
Ni 6.524 6.524 6.524
Br 3.271 3.271 3.271
Br 5.428 5.428 3.271
Br 5.428 3.271 5.428
Br 3.271 5.428 5.428